A relaxed structure of Dy5Tl4Zn, computed with PBE.

Cell lengths 3.6365, 3.6365, 19.9675 Å; angles 90.00, 90.00, 90.00 degrees
Closest atoms and distances in Å follow each position.
Space group P4/mmm (No. 123)
Symmetry-distinct sites (fractional):
Dy (0.0000, 0.0000, 0.0000)  8 Tl 3.31, 4 Dy 3.64
Dy (0.0000, 0.0000, 0.2080)  8 Tl 3.30, 4 Dy 3.64
Dy (0.0000, 0.0000, 0.4146)  4 Zn 3.09, 4 Tl 3.29, 1 Dy 3.41
Tl (0.5000, 0.5000, 0.1044)  8 Dy 3.30-3.31, 4 Tl 3.64
Tl (0.5000, 0.5000, 0.3118)  8 Dy 3.29-3.30, 4 Tl 3.64
Zn (0.5000, 0.5000, 0.5000)  8 Dy 3.09

Total magnetic moment (μB per atom): 0.02
DFT total energy (eV per cell): -37.330